Entry from the Alexandria database: a relaxed structure of U2NiS4Cl (GGA-PBE).

E_form (uncorrected) ... -1.10 eV/atom
Total energy ... -6.94 eV/atom
Space group ... C2/m (12)
Theoretical density ... 7.5 Mg/m³

CIF file:
```
data_U2NiS4Cl
_chemical_formula_sum 'U2 Ni1 S4 Cl1'
_symmetry_space_group_name_H-M 'P 1'
_symmetry_Int_Tables_number 1
_cell_length_a 3.800
_cell_length_b 6.101
_cell_length_c 7.987
_cell_angle_alpha 61.55
_cell_angle_beta 76.24
_cell_angle_gamma 71.85
loop_
_symmetry_equiv_pos_as_xyz
'x,y,z'
loop_
_atom_site_label
_atom_site_fract_x
_atom_site_fract_y
_atom_site_fract_z
_atom_site_occupancy
S1 0.161 0.997 0.682 1
S2 0.839 0.003 0.318 1
Ni1 0.000 0.000 0.000 1
Cl1 0.500 0.500 0.500 1
U1 0.815 0.653 0.716 1
S3 0.622 0.698 0.057 1
U2 0.185 0.347 0.284 1
S4 0.378 0.302 0.943 1
```